Entry 1:
# LaInP2Cl

LaInP2Cl after structural relaxation (PBE, the Alexandria database).

N(E_F) ... 0.582 states/eV per atom
Energy above the lowest structure with this stoichiometry ... 0.000 eV per formula unit
E_form (uncorrected) ... -0.31 eV/atom
Magnetization ... 0.00 μB per formula unit

abc: 5.2065 5.2065 5.3018
angles: 90.00 90.00 90.00
With the nearest neighbours (Å) after each atom.
Fractional coordinates of all 5 atoms:
La  0.0000  0.0000  0.0000  4 Cl 3.68, 8 P 3.72
In  0.5000  0.5000  0.5000  4 P 2.60, 2 Cl 2.65
P  0.0000  0.5000  0.5000  2 In 2.60
P  0.5000  0.0000  0.5000  2 In 2.60
Cl  0.5000  0.5000  0.0000  2 In 2.65



Entry 2:
# InSnS2

InSnS2 after structural relaxation (PBE, the Alexandria database).

N(E_F) ... 0.798 states/eV per atom
E_form (uncorrected) ... -0.31 eV/atom
Magnetization ... 0.00 μB per formula unit

abc: 7.5300 7.5300 7.5300
angles: 30.49 30.49 30.49
With the nearest neighbours (Å) after each atom.
Fractional coordinates of all 4 atoms:
In  0.0000  0.0000  0.0000  6 S 2.87-3.09
Sn  0.1715  0.1715  0.1715  6 S 2.80-2.87
S  0.5857  0.5857  0.5857  3 Sn 2.87, 3 In 2.87
S  0.7631  0.7631  0.7631  3 Sn 2.80, 3 In 3.09



Entry 3:
# LiTePb2O6

LiTePb2O6 after structural relaxation (PBE, the Alexandria database).

N(E_F) ... 0.537 states/eV per atom
E_form (uncorrected) ... -1.19 eV/atom
Magnetization ... 0.00 μB per formula unit

abc: 5.6919 5.8762 9.8055
angles: 90.00 124.99 90.00
With the nearest neighbours (Å) after each atom.
Fractional coordinates of all 20 atoms:
Li  0.0000  0.0000  0.0000  6 O 2.17-2.26
Li  0.0000  0.5000  0.5000  6 O 2.17-2.26
Te  0.5000  0.0000  0.5000  6 O 1.96-1.97
Te  0.5000  0.5000  0.0000  6 O 1.96-1.97
Pb  0.2412  0.0489  0.7474  5 O 2.46-2.72
Pb  0.2412  0.4511  0.2474  5 O 2.46-2.72
Pb  0.7588  0.5489  0.7526  5 O 2.46-2.72
Pb  0.7588  0.9511  0.2526  5 O 2.46-2.72
O  0.1830  0.1863  0.4643  1 Te 1.96
O  0.1830  0.3137  0.9643  1 Te 1.96
O  0.2712  0.7250  0.4554  1 Te 1.96
O  0.2712  0.7750  0.9554  1 Te 1.96
O  0.3453  0.0296  0.2629  1 Te 1.97, 1 Li 2.17
O  0.3453  0.4704  0.7629  1 Te 1.97, 1 Li 2.17
O  0.6547  0.5296  0.2371  1 Te 1.97, 1 Li 2.17
O  0.6547  0.9704  0.7371  1 Te 1.97, 1 Li 2.17
O  0.7288  0.2250  0.0446  1 Te 1.96
O  0.7288  0.2750  0.5446  1 Te 1.96
O  0.8169  0.6863  0.0357  1 Te 1.96
O  0.8169  0.8137  0.5357  1 Te 1.96



Entry 4:
# LaMg2Zn2

LaMg2Zn2 after structural relaxation (PBE, the Alexandria database).

Energy of formation from the pure elements ... -0.112 eV/atom
N(E_F) ... 0.900 states/eV per atom
Energy above the lowest structure with this stoichiometry ... 0.632 eV per formula unit
Magnetization ... 0.00 μB per formula unit

abc: 6.1251 6.1251 6.1251
angles: 133.75 133.75 67.48
With the nearest neighbours (Å) after each atom.
Fractional coordinates of all 5 atoms:
La  0.0000  0.0000  0.0000  8 Zn 3.50, 10 Mg 3.67-3.71
Mg  0.3645  0.3645  0.0000  4 Zn 2.67, 1 Mg 2.76
Mg  0.6355  0.6355  0.0000  4 Zn 2.67, 1 Mg 2.76
Zn  0.2500  0.7500  0.5000  4 Mg 2.67
Zn  0.7500  0.2500  0.5000  4 Mg 2.67



Entry 5:
# LiEr2Pd4

LiEr2Pd4 after structural relaxation (PBE, the Alexandria database).

Energy of formation from the pure elements ... -0.519 eV/atom
N(E_F) ... 0.447 states/eV per atom
Magnetization ... 0.00 μB per formula unit

abc: 7.8586 7.8586 7.8586
angles: 148.36 148.36 45.35
With the nearest neighbours (Å) after each atom.
Fractional coordinates of all 7 atoms:
Li  0.0000  0.0000  0.0000  6 Pd 2.14-2.30
Er  0.3509  0.3509  0.0000  9 Pd 2.78-3.04
Er  0.6491  0.6491  0.0000  9 Pd 2.78-3.04
Pd  0.0000  0.5000  0.5000  2 Li 2.14
Pd  0.1589  0.1589  0.0000  1 Li 2.30
Pd  0.5000  0.0000  0.5000  2 Li 2.14
Pd  0.8411  0.8411  0.0000  1 Li 2.30



Entry 6:
# BaLiNdPb

BaLiNdPb after structural relaxation (PBE, the Alexandria database).

Energy of formation from the pure elements ... -0.248 eV/atom
N(E_F) ... 0.638 states/eV per atom
Magnetization ... 0.00 μB per formula unit

abc: 5.7589 5.7589 5.7589
angles: 60.00 60.00 60.00
With the nearest neighbours (Å) after each atom.
Fractional coordinates of all 4 atoms:
Ba  0.0000  0.0000  0.0000  4 Pb 3.53, 4 Li 3.53
Li  0.2500  0.2500  0.2500  4 Ba 3.53, 4 Nd 3.53
Nd  0.5000  0.5000  0.5000  4 Pb 3.53, 4 Li 3.53
Pb  0.7500  0.7500  0.7500  4 Ba 3.53, 4 Nd 3.53



Entry 7:
# BeHg2Te

BeHg2Te after structural relaxation (PBE, the Alexandria database).

N(E_F) ... 0.466 states/eV per atom
Energy above the lowest structure with this stoichiometry ... 1.491 eV per formula unit
E_form (uncorrected) ... 0.34 eV/atom
Magnetization ... 0.00 μB per formula unit

abc: 6.5858 6.5858 6.5858
angles: 116.92 116.92 95.42
With the nearest neighbours (Å) after each atom.
Fractional coordinates of all 8 atoms:
Be  0.0000  0.0000  0.0000  4 Hg 2.42
Be  0.7500  0.2500  0.5000  4 Hg 2.42
Hg  0.0619  0.6250  0.9369  2 Be 2.42
Hg  0.3750  0.3119  0.4369  2 Be 2.42
Hg  0.6881  0.1250  0.0631  2 Be 2.42
Hg  0.8750  0.9381  0.5631  2 Be 2.42
Te  0.2500  0.7500  0.5000  4 Hg 2.97
Te  0.5000  0.5000  0.0000  4 Hg 2.97



Entry 8:
# NpPS4I

NpPS4I after structural relaxation (PBE, the Alexandria database).

N(E_F) ... 1.231 states/eV per atom
E_form (uncorrected) ... -0.51 eV/atom
Magnetization ... 3.00 μB per formula unit

abc: 7.1380 7.1380 7.7877
angles: 100.63 100.63 73.52
With the nearest neighbours (Å) after each atom.
Fractional coordinates of all 14 atoms:
Np  0.2291  0.2291  0.1338  6 S 2.72-2.82
Np  0.7709  0.7709  0.8662  6 S 2.72-2.82
P  0.3649  0.3649  0.7308  4 S 2.02-2.12
P  0.6351  0.6351  0.2692  4 S 2.02-2.12
S  0.1497  0.5084  0.8989  1 P 2.12
S  0.2393  0.2393  0.4990  1 P 2.03
S  0.4654  0.4654  0.3046  1 P 2.02
S  0.4916  0.8503  0.1011  1 P 2.12
S  0.5084  0.1497  0.8989  1 P 2.12
S  0.5346  0.5346  0.6954  1 P 2.02
S  0.7607  0.7607  0.5010  1 P 2.03
S  0.8503  0.4916  0.1011  1 P 2.12
I  0.0251  0.0251  0.7773  2 Np 3.14-3.19, 1 S 3.28
I  0.9749  0.9749  0.2227  2 Np 3.14-3.19, 1 S 3.28



Copy entry 5 word for word.
# LiEr2Pd4

LiEr2Pd4 after structural relaxation (PBE, the Alexandria database).

Energy of formation from the pure elements ... -0.519 eV/atom
N(E_F) ... 0.447 states/eV per atom
Magnetization ... 0.00 μB per formula unit

abc: 7.8586 7.8586 7.8586
angles: 148.36 148.36 45.35
With the nearest neighbours (Å) after each atom.
Fractional coordinates of all 7 atoms:
Li  0.0000  0.0000  0.0000  6 Pd 2.14-2.30
Er  0.3509  0.3509  0.0000  9 Pd 2.78-3.04
Er  0.6491  0.6491  0.0000  9 Pd 2.78-3.04
Pd  0.0000  0.5000  0.5000  2 Li 2.14
Pd  0.1589  0.1589  0.0000  1 Li 2.30
Pd  0.5000  0.0000  0.5000  2 Li 2.14
Pd  0.8411  0.8411  0.0000  1 Li 2.30



> What is the N(E_F) in the fourth record?

0.900 states/eV per atom